one | Entry from Alexandria: MnIn2Mo2 after structural relaxation (PBE).

Properties
- density of states at the Fermi level (states/eV/cell) = 4.200
- total moment (μB/cell) = 3.6

The structure in POSCAR format:
```
MnIn2Mo2
1.0
-1.981 1.981 6.558
1.981 -1.981 6.558
1.981 1.981 -6.558
Mn In Mo
1 2 2
Cartesian
0.000 0.000 0.000
1.981 0.000 3.279
0.000 1.981 3.279
0.000 0.000 5.438
0.000 0.000 7.678
```

---

two | Entry from Alexandria: MnIn2Mo2 after structural relaxation (PBE).

Properties
- density of states at the Fermi level (states/eV/cell) = 6.703
- total moment (μB/cell) = 2.5

The structure in POSCAR format:
```
MnIn2Mo2
1.0
6.357 0.000 0.000
0.000 6.357 0.000
0.000 0.000 4.612
Mn In Mo
2 4 4
Cartesian
0.000 0.000 0.000
3.179 3.179 0.000
1.090 2.088 2.306
2.088 5.267 2.306
4.269 1.090 2.306
5.267 4.269 2.306
0.897 4.076 0.000
2.281 0.897 0.000
4.076 5.460 0.000
5.460 2.281 0.000
```

---

Of them, two has the highest stability.

---

one | Entry from Alexandria: MnIn3N after structural relaxation (PBE).

Properties
- density of states at the Fermi level (states/eV/cell) = 2.849
- total moment (μB/cell) = 4.8

The structure in POSCAR format:
```
MnIn3N
1.0
5.090 0.000 0.000
0.000 5.090 0.000
0.000 0.000 5.090
Mn In N
1 3 1
Cartesian
0.000 0.000 0.000
0.000 0.000 2.545
0.000 2.545 0.000
2.545 0.000 0.000
2.545 2.545 2.545
```

---

two | Entry from Alexandria: MnIn3N after structural relaxation (PBE).

Properties
- density of states at the Fermi level (states/eV/cell) = 5.227
- total moment (μB/cell) = 4.5

The structure in POSCAR format:
```
MnIn3N
1.0
4.712 0.000 0.000
0.000 4.712 0.000
0.000 0.000 4.712
Mn In N
1 3 1
Cartesian
0.000 0.000 0.000
0.000 2.356 2.356
2.356 0.000 2.356
2.356 2.356 0.000
2.356 2.356 2.356
```

---

Of them, two has the highest stability.

---

one | Entry from Alexandria: MnInPb2N after structural relaxation (PBE).

Properties
- density of states at the Fermi level (states/eV/cell) = 2.887
- total moment (μB/cell) = 4.3

The structure in POSCAR format:
```
MnInPb2N
1.0
5.294 0.000 0.000
0.000 5.294 0.000
0.000 0.000 4.281
Mn In Pb N
1 1 2 1
Cartesian
0.000 0.000 0.000
2.647 2.647 0.000
0.000 2.647 2.141
2.647 0.000 2.141
2.647 2.647 2.141
```

---

two | Entry from Alexandria: MnInPb2N after structural relaxation (PBE).

Properties
- density of states at the Fermi level (states/eV/cell) = 3.299
- total moment (μB/cell) = 2.3

The structure in POSCAR format:
```
MnInPb2N
1.0
5.740 0.000 0.000
0.000 5.740 0.000
0.000 0.000 3.530
Mn In Pb N
1 1 2 1
Cartesian
0.000 0.000 0.000
2.870 2.870 1.765
0.000 2.870 0.000
2.870 0.000 0.000
0.000 0.000 1.765
```

---

Of them, two has the highest stability.